[1]
Material: CeLuFeCo
Method: DFT, PBE
State: relaxed

Theoretical density = 9.80 g/cm³
Energy of formation from the pure elements = -0.06 eV/atom
Space group = F-43m

abc: 4.688 4.688 4.688
angles: 60.00 60.00 60.00
Site moments in Bohr magnetons follow the coordinates.
Atoms (fractional coordinates):
Lu  0.750  0.750  0.750  -0.19
Co  0.000  0.000  0.000  0.60
Fe  0.500  0.500  0.500  0.99
Ce  0.250  0.250  0.250  -0.43


[2]
Material: Cs2TbHF6
Method: DFT, PBE
State: relaxed

Theoretical density = 4.66 g/cm³
Space group = Fmmm

abc: 6.291 6.294 7.392
angles: 54.19 54.20 68.00
Atoms (fractional coordinates):
Cs  0.750  0.250  0.500
Cs  0.250  0.750  0.500
Tb  0.000  0.000  0.000
H  0.500  0.500  0.000
F  0.206  0.206  0.587
F  0.793  0.793  0.000
F  0.334  0.666  0.000
F  0.666  0.334  0.000
F  0.207  0.207  0.000
F  0.794  0.794  0.413


[3]
Material: Ca2PuSnN4
Method: DFT, PBE
State: relaxed

Theoretical density = 7.22 g/cm³
Space group = P2/m
E_form (uncorrected) = -0.751 eV per atom

abc: 3.423 5.903 6.048
angles: 110.04 90.00 90.00
Site moments in Bohr magnetons follow the coordinates.
Atoms (fractional coordinates):
Ca  0.500  0.000  0.500  0.00
Ca  0.000  0.500  0.500  0.02
Pu  0.500  0.500  0.000  4.25
Sn  0.000  0.000  0.000  0.03
N  0.500  0.234  0.220  -0.05
N  0.500  0.766  0.780  -0.05
N  0.000  0.267  0.775  -0.12
N  0.000  0.733  0.225  -0.12


[4]
Material: AgBPt3
Method: DFT, PBE
State: relaxed

Theoretical density = 14.62 g/cm³
ΔE to the lowest computed polymorph = 1.03 eV/f.u.
Energy of formation from the pure elements = -0.02 eV/atom
Space group = Amm2

abc: 2.767 5.404 5.404
angles: 98.35 90.00 90.00
Atoms (fractional coordinates):
B  0.500  0.053  0.947
Ag  0.000  0.594  0.406
Pt  0.500  0.061  0.324
Pt  0.500  0.676  0.939
Pt  0.000  0.245  0.755


[5]
Material: LaMg2Ni2
Method: DFT, PBE
State: relaxed

Theoretical density = 4.91 g/cm³
ΔE to the lowest computed polymorph = 0.00 eV/f.u.
Energy of formation from the pure elements = -0.26 eV/atom
Space group = C2/m

abc: 3.990 5.258 5.445
angles: 103.07 111.49 90.00
Atoms (fractional coordinates):
La  0.000  0.000  0.000
Mg  0.341  0.420  0.683
Mg  0.659  0.580  0.317
Ni  0.720  0.105  0.440
Ni  0.280  0.895  0.560


[6]
Material: KHg2Pd
Method: DFT, PBE
State: relaxed

Theoretical density = 7.64 g/cm³
ΔE to the lowest computed polymorph = 0.06 eV/f.u.
Energy of formation from the pure elements = -0.20 eV/atom
Space group = R3m

abc: 4.759 4.759 6.650
angles: 69.03 69.03 60.00
Atoms (fractional coordinates):
K  0.493  0.493  0.521
Hg  0.039  0.039  0.884
Hg  0.292  0.292  0.124
Pd  0.676  0.676  0.972


[7]
Material: CaRhBr2
Method: DFT, PBE
State: relaxed

Theoretical density = 4.87 g/cm³
ΔE to the lowest computed polymorph = 0.83 eV/f.u.
Space group = C2/m
E_form (uncorrected) = -0.610 eV per atom

abc: 5.178 5.179 5.191
angles: 63.73 83.27 116.18
Site moments in Bohr magnetons follow the coordinates.
Atoms (fractional coordinates):
Ca  0.000  0.500  0.500  0.00
Rh  0.500  0.500  0.000  -0.09
Br  0.000  0.000  0.000  0.00
Br  0.500  0.000  0.500  0.00


[8]
Material: LiCdSe2
Method: DFT, PBE
State: relaxed

Theoretical density = 4.87 g/cm³
Space group = P4mm
E_form (uncorrected) = -0.564 eV per atom

abc: 3.627 3.627 7.185
angles: 90.00 90.00 90.00
Atoms (fractional coordinates):
Cd  0.000  0.000  0.453
Li  0.500  0.500  0.932
Se  0.000  0.000  0.818
Se  0.500  0.500  0.297


Number 1: total DFT energy (no corrections) -6.563 eV/atom. Number 2: total DFT energy (no corrections) -5.121 eV/atom. Number 3: total DFT energy (no corrections) -7.706 eV/atom. Number 4: total DFT energy (no corrections) -5.549 eV/atom. Number 5: total DFT energy (no corrections) -4.194 eV/atom. Number 6: total DFT energy (no corrections) -1.924 eV/atom. Number 7: total DFT energy (no corrections) -3.785 eV/atom. Number 8: total DFT energy (no corrections) -3.014 eV/atom.